Material: Pd2Se2S
Method: DFT, PBE
State: relaxed

The structure belongs to space group C2/m (No. 12); the cell edges are 13.897, 4.748 and 9.461 Å and the angles 90.00°, 127.00° and 90.00°. Symmetry generates all atoms from Pd at (0.121, 0.000, 0.267), Pd at (0.205, 0.500, 0.028), Se at (0.125, 0.000, 0.996), Se at (0.185, 0.500, 0.276) and S at (0.122, 0.000, 0.513).

The energy above the most stable polymorph in this dataset is 0.031 eV per atom. The calculation puts the uncorrected formation energy at -0.11 eV/atom.

Material: Mn2CoHg
Method: DFT, PBE
State: relaxed

The structure belongs to space group Imm2 (No. 44); the cell edges are 3.341, 4.234 and 8.488 Å and the angles 90.00°, 90.00° and 90.00°. Symmetry generates all atoms from Mn at (0.000, 0.000, 0.000), Mn at (0.000, 0.500, 0.237), Co at (0.000, 0.000, 0.520) and Hg at (0.000, 0.500, 0.765).

The calculation puts the calculated formation energy at 0.350 eV/atom.

Material: InAgI2
Method: DFT, PBE
State: relaxed

The structure belongs to space group C2/m (No. 12); the cell edges are 17.043, 4.715 and 8.878 Å and the angles 90.00°, 118.17° and 90.00°. Symmetry generates all atoms from In at (0.121, 0.000, 0.029), Ag at (0.098, 0.500, 0.617), I at (0.028, 0.500, 0.252) and I at (0.207, 0.000, 0.753).

The calculation puts the uncorrected formation energy at -0.34 eV/atom.

Material: Fe2I5Br
Method: DFT, PBE
State: relaxed

The structure belongs to space group P1 (No. 1); the cell edges are 7.742, 7.781 and 7.845 Å and the angles 102.16°, 102.52° and 119.56°. Symmetry generates all atoms from Fe at (0.000, 0.000, 0.000), Fe at (0.500, 0.500, 0.500), I at (0.054, 0.743, 0.105), I at (0.378, 0.377, 0.125), I at (0.555, 0.243, 0.603), I at (0.738, 0.049, 0.100), I at (0.878, 0.875, 0.624) and Br at (0.259, 0.545, 0.593).

The calculation puts the uncorrected formation energy at -0.18 eV/atom.

Material: NiMoP2
Method: DFT, PBE
State: relaxed

The structure belongs to space group C2/m (No. 12); the cell edges are 7.751, 3.026 and 4.677 Å and the angles 90.00°, 95.23° and 90.00°. Symmetry generates all atoms from Ni at (0.000, 0.000, 0.000), Mo at (0.000, 0.500, 0.500) and P at (0.227, 0.000, 0.730).

The calculation puts the calculated formation energy at -0.086 eV/atom.

Material: TcGeS2N
Method: DFT, PBE
State: relaxed

The structure belongs to space group P4/mmm (No. 123); the cell edges are 4.124, 4.124 and 4.093 Å and the angles 90.00°, 90.00° and 90.00°. Symmetry generates all atoms from Tc at (0.000, 0.000, 0.000), Ge at (0.500, 0.500, 0.000), S at (0.000, 0.500, 0.500) and N at (0.500, 0.500, 0.500).

The energy above the most stable polymorph in this dataset is 0.821 eV per atom. The calculation puts the uncorrected formation energy at 1.10 eV/atom.

Material: PmAgPb2
Method: DFT, PBE
State: relaxed

The structure belongs to space group P4/mmm (No. 123); the cell edges are 4.826, 4.826 and 4.568 Å and the angles 90.00°, 90.00° and 90.00°. Symmetry generates all atoms from Pm at (0.000, 0.000, 0.000), Ag at (0.500, 0.500, 0.000) and Pb at (0.000, 0.500, 0.500).

The energy above the most stable polymorph in this dataset is 0.000 eV per atom. The calculation puts the calculated formation energy at -0.335 eV/atom.

Material: Co2AsOs
Method: DFT, PBE
State: relaxed

The structure belongs to space group P2/m (No. 10); the cell edges are 2.733, 3.621 and 5.114 Å and the angles 90.00°, 90.38° and 90.00°. Symmetry generates all atoms from Co at (0.003, 0.000, 0.240), As at (0.500, 0.500, 0.500) and Os at (0.500, 0.500, 0.000).

The calculation puts the calculated formation energy at 0.210 eV/atom.

Material: CaZnRuPb2
Method: DFT, PBE
State: relaxed

The structure belongs to space group P4/mmm (No. 123); the cell edges are 5.243, 5.243 and 5.492 Å and the angles 90.00°, 90.00° and 90.00°. Symmetry generates all atoms from Ca at (0.000, 0.000, 0.000), Zn at (0.500, 0.500, 0.000), Ru at (0.000, 0.000, 0.500) and Pb at (0.000, 0.500, 0.500).

The calculation puts the calculated formation energy at 0.146 eV/atom.

Material: Ag3C
Method: DFT, PBE
State: relaxed

The structure belongs to space group Cmcm (No. 63); the cell edges are 5.748, 14.664 and 3.013 Å and the angles 90.00°, 90.00° and 90.00°. Symmetry generates all atoms from Ag at (0.000, 0.232, 0.250), Ag at (0.244, 0.084, 0.750) and C at (0.000, 0.351, 0.750).

The energy above the most stable polymorph in this dataset is 0.586 eV per atom. The calculation puts the calculated formation energy at 1.143 eV/atom.

Material: CdBiPRh2
Method: DFT, PBE
State: relaxed

The structure belongs to space group P4/mmm (No. 123); the cell edges are 4.490, 4.490 and 5.057 Å and the angles 90.00°, 90.00° and 90.00°. Symmetry generates all atoms from Cd at (0.000, 0.000, 0.000), Bi at (0.500, 0.500, 0.000), P at (0.000, 0.000, 0.500) and Rh at (0.000, 0.500, 0.500).

The calculation puts the calculated formation energy at 0.115 eV/atom.

Material: MgSnI2N
Method: DFT, PBE
State: relaxed

The structure belongs to space group P4/mmm (No. 123); the cell edges are 6.173, 6.173 and 3.909 Å and the angles 90.00°, 90.00° and 90.00°. Symmetry generates all atoms from Mg at (0.000, 0.000, 0.000), Sn at (0.500, 0.500, 0.500), I at (0.000, 0.500, 0.500) and N at (0.500, 0.500, 0.000).

The energy above the most stable polymorph in this dataset is 0.162 eV per atom. The calculation puts the uncorrected formation energy at 0.40 eV/atom.

| no. | E (eV/atom) |
| --- | --- |
| 1 | -4.40 |
| 2 | -6.09 |
| 3 | -2.51 |
| 4 | -3.47 |
| 5 | -6.94 |
| 6 | -5.22 |
| 7 | -4.09 |
| 8 | -7.31 |
| 9 | -3.85 |
| 10 | -3.30 |
| 11 | -4.87 |
| 12 | -3.01 |